Material: SiIrSe2
Method: DFT, PBE
State: optimized geometry

space-group type = C2/m (12)

Unit cell a=3.826 b=3.826 c=6.177 alpha=108.25 beta=108.25 gamma=60.14
Element x y z (fractional)
Si: 0.000 0.000 0.000
Ir: 0.500 0.500 0.500
Se: 0.244 0.244 0.729
Se: 0.756 0.756 0.271

---

Material: LiAsCl2
Method: DFT, PBE
State: optimized geometry

space-group type = R-3m (166)
energy above the lowest structure with this stoichiometry = 275 meV per atom

Unit cell a=7.983 b=7.983 c=7.983 alpha=24.15 beta=24.15 gamma=24.15
Element x y z (fractional)
Li: 0.000 0.000 0.000
As: 0.500 0.500 0.500
Cl: 0.267 0.267 0.267
Cl: 0.733 0.733 0.733

---

Number 1: formation energy (no corrections) 0.20 eV per atom, DOS(E_F) 2.4 states/eV per cell. Number 2: formation energy (no corrections) -0.61 eV per atom, DOS(E_F) 2.0 states/eV per cell.